1.
K2NbReOs after structural relaxation. Source: the Alexandria database, functional PBE-GGA.

Output
Calculated formation energy (kJ/mol of formula units): 1243
Crystal system: tetragonal
Space-group type: P4/mmm

a b c (Å): 6.2905 4.6483 6.2905
angles (deg): 90.00 90.00 90.00
Fractional coordinates of all 5 atoms:
Nb1 0.0000 0.5000 0.0000
Re1 0.0000 0.0000 0.0000
K1 0.5000 0.0000 0.0000
K2 0.0000 0.0000 0.5000
Os1 0.5000 0.5000 0.5000

=====

2.
K2NbVOs after structural relaxation. Source: the Alexandria database, functional PBE-GGA.

Output
Calculated formation energy (kJ/mol of formula units): 1217
Crystal system: tetragonal
Space-group type: P4/mmm

a b c (Å): 6.2989 4.4548 6.2989
angles (deg): 90.00 90.00 90.00
Fractional coordinates of all 5 atoms:
Nb1 0.0000 0.0000 0.0000
V1 0.0000 0.5000 0.0000
K1 0.0000 0.0000 0.5000
K2 0.5000 0.0000 0.0000
Os1 0.5000 0.5000 0.5000

=====

3.
K6NbP4 after structural relaxation. Source: the Alexandria database, functional PBE-GGA.

Output
Calculated formation energy (kJ/mol of formula units): -463
Crystal system: hexagonal
Space-group type: P6_3mc

a b c (Å): 8.0753 10.2053 10.2053
angles (deg): 120.00 90.00 90.00
Fractional coordinates of all 22 atoms:
K1 0.9550 0.8553 0.7107
Nb1 0.2471 0.6667 0.3333
Nb2 0.7471 0.3333 0.6667
K2 0.6374 0.9349 0.4675
K3 0.4550 0.7107 0.8553
P1 0.8394 0.2028 0.7972
P2 0.9499 0.6667 0.3333
P3 0.8394 0.2028 0.4056
P4 0.3394 0.7972 0.2028
P5 0.8394 0.5944 0.7972
K4 0.9550 0.8553 0.1447
K5 0.6374 0.5325 0.0651
K6 0.9550 0.2893 0.1447
K7 0.4550 0.1447 0.2893
P6 0.3394 0.4056 0.2028
K8 0.4550 0.1447 0.8553
P7 0.3394 0.7972 0.5944
K9 0.1374 0.0651 0.5325
K10 0.1374 0.4675 0.5325
K11 0.6374 0.5325 0.4675
P8 0.4499 0.3333 0.6667
K12 0.1374 0.4675 0.9349

=====

4.
K2NbP after structural relaxation. Source: the Alexandria database, functional PBE-GGA.

Output
Calculated formation energy (kJ/mol of formula units): 146
Crystal system: tetragonal
Space-group type: I-42d

a b c (Å): 12.3957 12.3957 9.1003
angles (deg): 47.07 47.07 90.00
Fractional coordinates of all 8 atoms:
P1 0.2500 0.7500 0.5000
P2 0.5000 0.5000 0.0000
Nb1 0.7500 0.2500 0.5000
K1 0.8750 0.6923 0.7500
K2 0.3750 0.5577 0.7500
K3 0.3077 0.6250 0.2500
Nb2 0.0000 0.0000 0.0000
K4 0.4423 0.1250 0.2500

=====

5.
KNb4P2 after structural relaxation. Source: the Alexandria database, functional PBE-GGA.

Output
Calculated formation energy (kJ/mol of formula units): 1115
Crystal system: tetragonal
Space-group type: I4/mmm

a b c (Å): 4.5081 4.5081 7.3813
angles (deg): 72.22 72.22 90.00
Fractional coordinates of all 7 atoms:
K1 0.0000 0.0000 0.0000
Nb1 0.5000 0.0000 0.0000
Nb2 0.7955 0.7955 0.4090
Nb3 0.0000 0.5000 0.0000
P1 0.6188 0.6188 0.7624
Nb4 0.2045 0.2045 0.5910
P2 0.3812 0.3812 0.2376

=====

6.
KNbP2S after structural relaxation. Source: the Alexandria database, functional PBE-GGA.

Output
Energy above the lowest structure with this stoichiometry (eV/atom): 0.0000
Crystal system: tetragonal
Formation energy without anion corrections (meV/atom): -301
Space-group type: P4/mmm

a b c (Å): 4.9133 4.9133 4.9125
angles (deg): 90.00 90.00 90.00
Fractional coordinates of all 5 atoms:
K1 0.5000 0.5000 0.5000
S1 0.0000 0.0000 0.5000
P1 0.5000 0.0000 0.0000
P2 0.0000 0.5000 0.0000
Nb1 0.0000 0.0000 0.0000

=====

no.,N(E_F) (states/eV/f.u.),calculated density (Mg/m³)
1,5.452,4.94
2,6.546,3.87
3,10.628,2.06
4,2.256,1.78
5,9.350,5.80
6,3.944,3.16